1.
The following is a PBE-GGA calculation of a geometry-optimized Li2Ac2NiGe4 structure, from Alexandria.

```
Li2Ac2NiGe4
1.0
-4.615 2.753 3.692
2.998 -5.490 1.839
5.908 2.688 -0.622
Li Ac Ni Ge
2 2 1 4
Direct
0.000 0.700 0.700
0.000 0.300 0.300
0.500 0.750 0.250
0.500 0.250 0.750
0.000 0.000 0.000
0.000 0.724 0.276
0.449 0.724 0.724
0.000 0.276 0.724
0.551 0.276 0.276
```

Values from the calculation:
- Spin magnetization: 0.00 Bohr magnetons per cell
- N(E_F): 4.89 states/eV/f.u.
- SG: I4/mmm (139)
- Energy of formation: -0.44 eV per atom

2.
The following is a PBE-GGA calculation of a geometry-optimized K4Np3TiS8 structure, from Alexandria.

```
K4Np3TiS8
1.0
-0.001 -0.669 -7.912
0.984 -8.602 0.727
-6.214 3.268 3.709
K Np Ti S
4 3 1 8
Direct
0.500 0.000 0.000
0.500 0.000 0.500
0.000 0.000 0.000
0.000 0.000 0.500
0.500 0.500 0.000
0.500 0.500 0.500
0.000 0.500 0.500
0.000 0.500 0.000
0.224 0.696 0.972
0.224 0.696 0.449
0.265 0.295 0.530
0.748 0.696 0.972
0.252 0.304 0.028
0.735 0.705 0.470
0.776 0.304 0.551
0.776 0.304 0.028
```

Values from the calculation:
- Spin magnetization: 13.00 Bohr magnetons per cell
- Uncorrected formation energy: -1370 meV per atom
- N(E_F): 31.80 states/eV/f.u.
- SG: R-3m (166)